Record 1
The following is a GGA-PBE calculation of an optimized crystal structure of BaGa2IrO8, from the Alexandria database.

abc: 4.5826 4.6685 7.5766
angles: 94.61 90.52 90.55
Last column: nearest neighbours and their distance in Å.
Fractional positions:
Ba: 0.0000 0.0000 0.0000  6 O 2.66-2.77
Ga: 0.4946 0.5060 0.6856  5 O 1.90-1.99
Ga: 0.5054 0.4940 0.3144  5 O 1.90-1.99
Ir: 0.0000 0.0000 0.5000  6 O 1.93-1.99
O: 0.2028 0.2164 0.7025  1 Ga 1.90, 1 Ir 1.99
O: 0.2149 0.1744 0.3185  1 Ir 1.93, 1 Ga 1.99
O: 0.2877 0.6962 0.5019  2 Ga 1.93-1.95, 1 Ir 1.95
O: 0.4537 0.3914 0.0606  1 O 1.48
O: 0.5463 0.6086 0.9394  1 O 1.48
O: 0.7123 0.3038 0.4981  2 Ga 1.93-1.95, 1 Ir 1.95
O: 0.7851 0.8256 0.6815  1 Ir 1.93, 1 Ga 1.99
O: 0.7972 0.7836 0.2975  1 Ga 1.90, 1 Ir 1.99

Calculated values
The value obtained for the magnetization is 0.16 μB/atom. As for the uncorrected formation energy: -1.3189 eV per atom. The uncorrected energy comes out at -72.33 eV per cell. Its space-group type is P-1.

Record 2
The following is a GGA-PBE calculation of an optimized crystal structure of Ba2GaIr3O12, from the Alexandria database.

abc: 7.0628 7.0628 7.0628
angles: 61.09 61.09 61.09
Last column: nearest neighbours and their distance in Å.
Fractional positions:
Ba: 0.1217 0.1217 0.1217  6 O 2.97-2.98
Ba: 0.8783 0.8783 0.8783  6 O 2.97-2.98
Ga: 0.5000 0.5000 0.5000  6 O 1.99
Ir: 0.0000 0.5000 0.5000  6 O 1.92-1.95
Ir: 0.5000 0.0000 0.5000  6 O 1.92-1.95
Ir: 0.5000 0.5000 0.0000  6 O 1.92-1.95
O: 0.1643 0.5831 0.5831  1 Ir 1.92, 1 Ga 1.99
O: 0.1742 0.1742 0.5915  2 Ir 1.95
O: 0.1742 0.5915 0.1742  2 Ir 1.95
O: 0.4085 0.8258 0.8258  2 Ir 1.95
O: 0.4169 0.4169 0.8357  1 Ir 1.92, 1 Ga 1.99
O: 0.4169 0.8357 0.4169  1 Ir 1.92, 1 Ga 1.99
O: 0.5831 0.1643 0.5831  1 Ir 1.92, 1 Ga 1.99
O: 0.5831 0.5831 0.1643  1 Ir 1.92, 1 Ga 1.99
O: 0.5915 0.1742 0.1742  2 Ir 1.95
O: 0.8258 0.4085 0.8258  2 Ir 1.95
O: 0.8258 0.8258 0.4085  2 Ir 1.95
O: 0.8357 0.4169 0.4169  1 Ir 1.92, 1 Ga 1.99

Calculated values
The value obtained for the magnetization is 0.12 μB/atom. As for the uncorrected formation energy: -1.2769 eV per atom. The uncorrected energy comes out at -115.94 eV per cell. Its space-group type is R-3m.

Record 3
The following is a GGA-PBE calculation of an optimized crystal structure of BaGaIr2Pb, from the Alexandria database.

abc: 5.1751 5.1751 5.3357
angles: 90.00 90.00 90.00
Last column: nearest neighbours and their distance in Å.
Fractional positions:
Ba: 0.0000 0.0000 0.0000  4 Ga 3.66, 8 Ir 3.72
Ga: 0.5000 0.5000 0.0000  2 Pb 2.67
Ir: 0.0000 0.5000 0.5000  2 Pb 2.59
Ir: 0.5000 0.0000 0.5000  2 Pb 2.59
Pb: 0.5000 0.5000 0.5000  4 Ir 2.59, 2 Ga 2.67

Calculated values
The value obtained for the magnetization is 0.09 μB/atom. The uncorrected energy comes out at -22.38 eV per cell. The formation energy comes out at 0.800 eV per atom. Its space-group type is P4/mmm.